Record 1
DFT (meta-GGA SCAN) results for Pt2WCl at its PBEsol-relaxed geometry.

Cell lengths 2.803, 4.615, 6.543 Å; angles 97.44, 90.00, 107.68 degrees
Atoms (fractional coordinates):
1 W 0.462 0.924 0.580
2 Pt 0.946 0.891 0.920
3 Pt 0.203 0.405 0.718
4 Cl 0.890 0.779 0.282

* density of states at the Fermi level: 0.39 states/eV/atom
* energy relative to the lowest polymorph listed for this composition: 0.46 eV/f.u.

Record 2
DFT (meta-GGA SCAN) results for Pt2WCl at its PBEsol-relaxed geometry.

Cell lengths 3.739, 3.739, 4.441 Å; angles 90.00, 90.00, 90.00 degrees
Atoms (fractional coordinates):
1 W 0.500 0.500 0.500
2 Pt 0.000 0.500 0.000
3 Pt 0.500 0.000 0.000
4 Cl 0.000 0.000 0.500

* density of states at the Fermi level: 0.95 states/eV/atom
* energy relative to the lowest polymorph listed for this composition: 4.27 eV/f.u.

Record 3
DFT (meta-GGA SCAN) results for Pt2WCl at its PBEsol-relaxed geometry.

Cell lengths 2.829, 2.829, 9.423 Å; angles 81.37, 81.37, 60.00 degrees
Atoms (fractional coordinates):
1 W 0.501 0.501 0.497
2 Pt 0.008 0.008 0.977
3 Pt 0.757 0.757 0.728
4 Cl 0.234 0.234 0.298

* density of states at the Fermi level: 0.53 states/eV/atom
* energy relative to the lowest polymorph listed for this composition: 0.80 eV/f.u.

Record 4
DFT (meta-GGA SCAN) results for YPtCl2 at its PBEsol-relaxed geometry.

Cell lengths 3.512, 4.557, 7.028 Å; angles 108.92, 104.47, 90.00 degrees
Atoms (fractional coordinates):
1 Y 0.000 0.500 0.000
2 Pt 0.500 0.000 0.000
3 Cl 0.655 0.655 0.310
4 Cl 0.345 0.345 0.690

* density of states at the Fermi level: 0.32 states/eV/atom
* energy relative to the lowest polymorph listed for this composition: 0.00 eV/f.u.

Record 5
DFT (meta-GGA SCAN) results for YPtCl2 at its PBEsol-relaxed geometry.

Cell lengths 3.953, 3.953, 7.737 Å; angles 75.20, 75.20, 60.00 degrees
Atoms (fractional coordinates):
1 Y 0.000 0.000 0.000
2 Pt 0.500 0.500 0.500
3 Cl 0.885 0.885 0.345
4 Cl 0.115 0.115 0.655

* density of states at the Fermi level: 0.77 states/eV/atom
* energy relative to the lowest polymorph listed for this composition: 4.09 eV/f.u.

Record 6
DFT (meta-GGA SCAN) results for YPt2Cl at its PBEsol-relaxed geometry.

Cell lengths 3.012, 4.435, 6.084 Å; angles 111.23, 104.12, 90.56 degrees
Atoms (fractional coordinates):
1 Y 0.500 0.000 0.000
2 Pt 0.000 0.000 0.500
3 Pt 0.500 0.500 0.500
4 Cl 0.000 0.500 0.000

* density of states at the Fermi level: 0.50 states/eV/atom
* energy relative to the lowest polymorph listed for this composition: 1.69 eV/f.u.

Record 7
DFT (meta-GGA SCAN) results for YPt2Cl at its PBEsol-relaxed geometry.

Cell lengths 4.237, 4.237, 6.690 Å; angles 71.54, 71.54, 60.00 degrees
Atoms (fractional coordinates):
1 Y 0.484 0.484 0.549
2 Pt 0.056 0.056 0.831
3 Pt 0.728 0.728 0.817
4 Cl 0.232 0.232 0.303

* energy relative to the lowest polymorph listed for this composition: 0.00 eV/f.u.

Record 8
DFT (meta-GGA SCAN) results for YPt2Cl at its PBEsol-relaxed geometry.

Cell lengths 4.727, 4.727, 4.727 Å; angles 60.00, 60.00, 60.00 degrees
Atoms (fractional coordinates):
1 Y 0.500 0.500 0.500
2 Pt 0.250 0.250 0.250
3 Pt 0.750 0.750 0.750
4 Cl 0.000 0.000 0.000

* density of states at the Fermi level: 0.52 states/eV/atom
* energy relative to the lowest polymorph listed for this composition: 3.42 eV/f.u.

no.,formation energy without anion corrections (meV/atom),VASP energy (hartree per atom)
1,-5,-2.0035
2,948,-1.9685
3,82,-2.0003
4,-1203,-1.0915
5,-180,-1.0539
6,-765,-1.6470
7,-1186,-1.6625
8,-331,-1.6310